The following is a PBE calculation of crystalline NpTcP2 at its relaxed geometry, from the Alexandria database.

Values from the calculation:
energy of formation from the pure elements: -0.41 eV/atom
crystal system: tetragonal
polymorph energy (0 for the lowest one): 227 meV/atom
total magnetic moment: 7.76 μB/cell
volume: 144.0 Å³/cell
mass density: 9.15 g/cm³
total energy: -8.95 eV/atom

Unit cell a=3.3404 b=3.3404 c=12.9069 alpha=90.00 beta=90.00 gamma=90.00
Space group I-4m2 (No. 119)
Asymmetric unit:
Np (0.0000, 0.0000, 0.0000) [2 per cell]
Tc (0.0000, 0.5000, 0.7500) [2 per cell]
P (0.0000, 0.0000, 0.3725) [4 per cell]

The following is a PBE calculation of crystalline NpTcP2 at its relaxed geometry, from the Alexandria database.

Values from the calculation:
energy of formation from the pure elements: -0.64 eV/atom
crystal system: trigonal
polymorph energy (0 for the lowest one): 0 meV/atom
total magnetic moment: 7.24 μB/cell
volume: 203.3 Å³/cell
mass density: 9.72 g/cm³
total energy: -9.17 eV/atom

Unit cell a=3.8699 b=3.8699 c=15.6777 alpha=90.00 beta=90.00 gamma=120.00
Space group R-3m (No. 166, hexagonal axes)
Asymmetric unit:
Np (0.0000, 0.0000, 0.0000) [3 per cell]
Tc (0.0000, 0.0000, 0.5000) [3 per cell]
P (0.0000, 0.0000, 0.2335) [6 per cell]

The following is a PBE calculation of crystalline NpTc3P2 at its relaxed geometry, from the Alexandria database.

Values from the calculation:
energy of formation from the pure elements: -0.47 eV/atom
crystal system: monoclinic
total magnetic moment: 17.39 μB/cell
volume: 569.7 Å³/cell
mass density: 10.37 g/cm³
total energy: -9.61 eV/atom

Unit cell a=15.7744 b=3.9939 c=9.4515 alpha=90.00 beta=106.90 gamma=90.00
Space group C2/m (No. 12)
Asymmetric unit:
Np (0.0000, 0.0000, 0.0000) [2 per cell]
Np (0.1602, 0.0000, 0.7096) [4 per cell]
Tc (0.0000, 0.5000, 0.5000) [2 per cell]
Tc (0.0337, 0.0000, 0.3539) [4 per cell]
Tc (0.1132, 0.5000, 0.1944) [4 per cell]
Tc (0.1814, 0.5000, 0.9705) [4 per cell]
Tc (0.2098, 0.0000, 0.3898) [4 per cell]
P (0.0421, 0.5000, 0.7907) [4 per cell]
P (0.1451, 0.5000, 0.4607) [4 per cell]
P (0.1951, 0.0000, 0.1315) [4 per cell]

The following is a PBE calculation of crystalline NpTc3P3 at its relaxed geometry, from the Alexandria database.

Values from the calculation:
energy of formation from the pure elements: -0.47 eV/atom
crystal system: triclinic
total magnetic moment: 6.29 μB/cell
volume: 228.9 Å³/cell
mass density: 9.05 g/cm³
total energy: -9.08 eV/atom

Unit cell a=4.4094 b=7.1108 c=7.8013 alpha=110.62 beta=90.31 gamma=90.11
Space group P-1 (No. 2)
Asymmetric unit:
Np (0.2459, 0.1936, 0.3823) [2 per cell]
Tc (0.2480, 0.3030, 0.7962) [2 per cell]
Tc (0.2501, 0.7656, 0.0112) [2 per cell]
Tc (0.2510, 0.4482, 0.1788) [2 per cell]
P (0.2494, 0.0839, 0.9718) [2 per cell]
P (0.2494, 0.5795, 0.6849) [2 per cell]
P (0.2530, 0.7995, 0.3494) [2 per cell]